This record from Alexandria describes a relaxed ErTcPb2O6 crystal. The functional is PBE.

Output
energy relative to the elements, uncorrected: -1816 meV/atom
density of states at the Fermi level: 7.847 states/eV/cell

Geometry as extended XYZ:
```
20
Lattice="5.855 0.000 -0.034 0.000 5.860 0.000 0.003 0.000 8.258" Properties=species:S:1:pos:R:3 pbc="T T T"
O 4.486 4.663 4.447
O 1.557 4.127 0.334
O 4.301 1.733 7.890
Er 0.002 2.930 4.129
Er 2.927 0.000 -0.017
Tc 2.929 0.000 4.112
O 0.441 2.848 6.323
O 4.693 4.515 7.901
O 2.491 5.778 6.047
O 1.165 1.346 0.323
O 1.764 4.276 3.789
O 4.094 1.584 4.436
Tc 0.000 2.930 0.000
O 5.417 3.012 1.901
Pb 0.054 5.711 2.047
Pb 5.804 0.149 6.177
Pb 2.983 3.079 6.159
O 1.372 1.197 3.778
O 3.367 0.082 2.178
Pb 2.875 2.781 2.065
```

This record from Alexandria describes a relaxed CeGaC2 crystal. The functional is PBE.

Output
formation energy from the elements: 0.65 eV/atom
density of states at the Fermi level: 4.743 states/eV/cell

Geometry as extended XYZ:
```
4
Lattice="3.859 0.000 0.000 1.929 3.342 0.000 1.929 1.114 5.865" Properties=species:S:1:pos:R:3 pbc="T T T"
Ce 3.859 2.228 2.933
C 1.929 1.114 4.010
Ga 0.000 0.000 0.000
C 5.788 3.342 1.855
```

This record from Alexandria describes a relaxed ScRe2Ni crystal. The functional is PBE.

Output
formation energy from the elements: -0.06 eV/atom
density of states at the Fermi level: 3.785 states/eV/cell

Geometry as extended XYZ:
```
4
Lattice="-2.269 -1.106 1.892 -0.685 -3.210 -2.697 3.056 -2.502 2.202" Properties=species:S:1:pos:R:3 pbc="T T T"
Ni 1.186 -2.856 -0.248
Sc 0.393 -1.804 2.047
Re 0.000 0.000 0.000
Re -1.477 -2.158 -0.403
```